1.
A plane-wave DFT calculation with PBE was carried out for a relaxed structure of TbGdMgTi.

Results
Space-group type: F-43m
Total magnetization: 1.285 μB per atom
Calculated volume: 103.3 Å³/cell
ΔE_f: 0.14 eV per atom
Uncorrected energy: -6.91 eV per atom
Density of states at the Fermi level: 1.629 states/eV per atom

a b c (Å): 5.267 5.267 5.267
angles (deg): 60.00 60.00 60.00
Fractional positions:
Tb: 0.000 0.000 0.000
Gd: 0.500 0.500 0.500
Mg: 0.250 0.250 0.250
Ti: 0.750 0.750 0.750

=====

2.
A plane-wave DFT calculation with PBE was carried out for a relaxed structure of AcHg2Te.

Results
Space-group type: R-3m
Total magnetization: 0.000 μB per atom
Calculated volume: 140.1 Å³/cell
Uncorrected energy: -1.85 eV per atom
Density of states at the Fermi level: 0.745 states/eV per atom
ΔE_f (raw): 114.4 meV per atom
E above lowest polymorph: 942 meV per atom

a b c (Å): 11.876 11.876 11.876
angles (deg): 18.03 18.03 18.03
Fractional positions:
Ac: 0.000 0.000 0.000
Hg: 0.093 0.093 0.093
Hg: 0.907 0.907 0.907
Te: 0.500 0.500 0.500

=====

3.
A plane-wave DFT calculation with PBE was carried out for a relaxed structure of Pm3YEr2S6.

Results
Space-group type: C2/m
Total magnetization: 0.000 μB per atom
Calculated volume: 263.0 Å³/cell
Uncorrected energy: -6.56 eV per atom
Density of states at the Fermi level: 0.443 states/eV per atom
ΔE_f (raw): -2009.2 meV per atom

a b c (Å): 6.824 6.824 6.919
angles (deg): 99.44 99.44 120.17
Fractional positions:
Pm: 0.000 0.000 0.000
Pm: 0.335 0.665 0.000
Pm: 0.665 0.335 0.000
Y: 0.500 0.500 0.500
Er: 0.166 0.834 0.500
Er: 0.834 0.166 0.500
S: 0.085 0.422 0.264
S: 0.242 0.242 0.735
S: 0.422 0.085 0.264
S: 0.578 0.915 0.736
S: 0.758 0.758 0.265
S: 0.915 0.578 0.736

=====

Which of these has the highest total magnetization?
TbGdMgTi

=====

Look up the uncorrected energy of the first one.
-6.91 eV per atom

=====

What is the density of states at the Fermi level in the second record?
0.745 states/eV per atom